An optimized crystal structure of Mn2CuO4, computed with PBE+U.

Lattice parameters (Å, degrees): 6.092 6.092 5.889 118.88 118.88 93.80
Positions (direct):
1 Mn 0.000 0.000 0.000
2 Mn 0.000 0.000 0.500
3 Mn 0.000 0.500 0.000
4 Mn 0.500 0.000 0.500
5 Cu 0.375 0.625 0.750
6 Cu 0.625 0.375 0.250
7 O 0.217 0.235 0.976
8 O 0.235 0.217 0.476
9 O 0.242 0.757 0.476
10 O 0.243 0.758 0.024
11 O 0.757 0.242 0.976
12 O 0.758 0.243 0.524
13 O 0.765 0.783 0.524
14 O 0.783 0.765 0.024

Values from the calculation:
DOS at the Fermi energy in states/eV/f.u.: 3.4
Total magnetic moment in μB/atom: 1.0000
Space-group type: C2/c
Energy above the lowest structure with this stoichiometry in meV/atom: 0.0